Entry 1:
PBE Ni2Rh3W, optimized geometry; energy relative to the elements = -124.7 meV per atom; crystal system = orthorhombic
1.0
-3.455 0.900 1.451
-2.769 -6.287 -2.696
4.451 0.027 5.465
Ni Rh W
4 6 2
direct
0.661 0.661 0.322
0.339 0.839 0.678
0.661 0.161 0.322
0.339 0.339 0.678
0.500 0.250 0.000
0.500 0.750 0.000
0.168 0.418 0.335
0.832 0.082 0.665
0.832 0.582 0.665
0.168 0.918 0.335
0.000 0.500 0.000
0.000 0.000 0.000


Entry 2:
PBE Ni4Rh2W, optimized geometry; energy relative to the elements = 233.8 meV per atom; crystal system = tetragonal
1.0
-3.788 -0.977 1.722
2.211 -6.060 1.427
2.115 2.155 5.876
Ni Rh W
8 4 2
direct
0.000 0.143 0.406
0.000 0.857 0.594
0.500 0.094 0.643
0.500 0.906 0.357
0.500 0.357 0.906
0.500 0.643 0.094
0.000 0.406 0.143
0.000 0.594 0.857
0.000 0.172 0.828
0.000 0.828 0.172
0.500 0.672 0.672
0.500 0.328 0.328
0.500 0.000 0.000
0.000 0.500 0.500


Entry 3:
PBE NiRhW2, optimized geometry; energy relative to the elements = -38.3 meV per atom; crystal system = tetragonal
1.0
3.821 0.000 0.000
0.000 3.821 0.000
0.000 0.000 3.919
Ni Rh W
1 1 2
direct
0.500 0.000 0.500
0.000 0.500 0.500
0.000 0.000 0.000
0.500 0.500 0.000


Entry 4:
PBE NiRh2W, optimized geometry; energy relative to the elements = 5.4 meV per atom; crystal system = tetragonal
1.0
2.740 0.012 0.000
-0.011 2.740 0.000
0.000 0.000 7.423
Ni Rh W
1 2 1
direct
0.500 0.500 0.747
0.000 0.000 0.987
0.500 0.500 0.252
0.000 0.000 0.514


Entry 5:
PBE Ni3Rh2W2, optimized geometry; energy relative to the elements = 113.8 meV per atom; crystal system = monoclinic
1.0
3.770 0.000 0.000
-1.885 3.423 -2.521
0.000 -0.729 8.190
Ni Rh W
3 2 2
direct
0.000 0.000 0.500
0.679 0.358 0.128
0.321 0.642 0.872
0.216 0.431 0.361
0.784 0.569 0.639
0.418 0.837 0.224
0.582 0.163 0.776


Entry 6:
PBE Ni5Rh8W, optimized geometry; energy relative to the elements = 225.7 meV per atom; crystal system = tetragonal
1.0
-3.799 4.208 -2.846
-1.014 -5.816 -2.320
-1.272 0.154 6.213
Ni Rh W
5 8 1
direct
0.037 0.321 0.126
0.874 0.911 0.195
0.805 0.679 0.715
0.500 0.000 0.500
0.285 0.089 0.963
0.148 0.724 0.071
0.929 0.077 0.653
0.751 0.265 0.345
0.655 0.406 0.920
0.514 0.594 0.249
0.576 0.923 0.852
0.347 0.276 0.424
0.080 0.735 0.486
0.250 0.500 0.750


Entry 7:
PBE NiRh4W, optimized geometry; energy relative to the elements = 51.3 meV per atom; crystal system = monoclinic
1.0
-0.687 6.933 2.447
-3.079 2.118 -3.539
-3.742 -1.255 2.504
Ni Rh W
2 8 2
direct
0.500 0.250 0.422
0.500 0.750 0.578
0.332 0.438 0.916
0.159 0.839 0.586
0.668 0.062 0.916
0.841 0.161 0.414
0.841 0.661 0.586
0.332 0.938 0.084
0.159 0.339 0.414
0.668 0.562 0.084
0.000 0.250 0.916
0.000 0.750 0.084


Entry 8:
PBE NiRhW4, optimized geometry; energy relative to the elements = 556.0 meV per atom; crystal system = cubic
1.0
-4.107 -3.104 0.614
-4.294 1.802 2.278
-4.287 0.788 -2.806
Ni Rh W
1 1 4
direct
0.750 0.750 0.750
0.000 0.000 0.000
0.872 0.376 0.376
0.376 0.376 0.872
0.376 0.872 0.376
0.376 0.376 0.376